1.
A plane-wave DFT calculation with PBE was carried out for crystalline Li2Ga2Pb at its relaxed geometry.

## Properties
- crystal system = tetragonal
- distance to the lowest polymorph of the same formula (eV per atom) = 0.0764
- SG = No. 139
- formation energy from the elements (meV per atom) = -104
- V (Å³/cell) = 104.2

```
5
Lattice="-1.683 0.128 3.680 3.595 -0.819 1.672 2.208 5.877 3.031" Properties=species:S:1:pos:R:3 pbc="T T T"
Li 0.740 2.830 4.694
Li 3.379 2.357 3.690
Pb 0.000 0.000 0.000
Ga 1.208 0.910 2.748
Ga 2.911 4.277 5.636
```


2.
A plane-wave DFT calculation with PBE was carried out for crystalline HfPtCl3 at its relaxed geometry.

## Properties
- crystal system = cubic
- distance to the lowest polymorph of the same formula (eV per atom) = 0.0000
- SG = No. 221
- formation energy from raw total energies (eV/atom) = -0.247
- V (Å³/cell) = 118.8

```
5
Lattice="4.916 0.000 0.000 0.000 4.916 0.000 0.000 0.000 4.916" Properties=species:S:1:pos:R:3 pbc="T T T"
Cl 0.000 2.458 0.000
Cl 2.458 0.000 0.000
Cl 0.000 0.000 2.458
Pt 2.458 2.458 2.458
Hf 0.000 0.000 0.000
```


3.
A plane-wave DFT calculation with PBE was carried out for crystalline Cd5Mo at its relaxed geometry.

## Properties
- crystal system = hexagonal
- distance to the lowest polymorph of the same formula (eV per atom) = 0.3570
- SG = No. 191
- formation energy from the elements (meV per atom) = 600
- V (Å³/cell) = 135.7

```
6
Lattice="2.811 -4.869 0.000 2.811 4.869 0.000 0.000 0.000 4.957" Properties=species:S:1:pos:R:3 pbc="T T T"
Cd 2.811 1.623 0.000
Cd 1.405 -2.434 2.478
Cd 2.811 -1.623 0.000
Cd 2.811 0.000 2.478
Cd 1.405 2.434 2.478
Mo 0.000 0.000 0.000
```


4.
A plane-wave DFT calculation with PBE was carried out for crystalline BaTl2BiH at its relaxed geometry.

## Properties
- DFT total energy (eV for the cell shown) = -15.21
- crystal system = tetragonal
- SG = No. 123
- V (Å³/cell) = 144.5

```
5
Lattice="5.222 0.000 0.000 0.000 5.222 0.000 0.000 0.000 5.301" Properties=species:S:1:pos:R:3 pbc="T T T"
H 0.000 0.000 0.000
Ba 0.000 0.000 2.650
Tl 2.611 0.000 0.000
Tl 0.000 2.611 0.000
Bi 2.611 2.611 2.650
```


5.
A plane-wave DFT calculation with PBE was carried out for crystalline Nb2Sn2S7 at its relaxed geometry.

## Properties
- crystal system = orthorhombic
- SG = No. 44
- formation energy from raw total energies (eV/atom) = -0.596
- V (Å³/cell) = 230.7

```
11
Lattice="3.529 0.000 0.000 1.765 8.523 -0.179 1.765 3.884 7.589" Properties=species:S:1:pos:R:3 pbc="T T T"
S 1.765 3.974 4.280
S 3.529 5.529 2.022
S 3.529 8.005 3.501
S 5.294 6.754 5.941
S 3.529 9.571 7.250
S 3.529 8.390 0.044
S 3.529 1.486 2.421
Nb 3.529 5.757 4.453
Nb 1.765 7.422 1.665
Sn 1.765 2.522 0.841
Sn 5.294 10.471 5.588
```


6.
A plane-wave DFT calculation with PBE was carried out for crystalline CdIn2Pt2 at its relaxed geometry.

## Properties
- crystal system = tetragonal
- SG = No. 139
- formation energy from the elements (meV per atom) = -220
- V (Å³/cell) = 107.5

```
5
Lattice="4.175 0.000 0.000 0.000 4.175 0.000 2.088 2.088 6.165" Properties=species:S:1:pos:R:3 pbc="T T T"
Cd 0.000 0.000 0.000
Pt 2.088 2.088 1.300
Pt 4.175 4.175 4.865
In 4.175 2.088 3.082
In 2.088 4.175 3.082
```


Which of these has the lowest V? Li2Ga2Pb


Please write out number 1 again, unchanged.
A plane-wave DFT calculation with PBE was carried out for crystalline Li2Ga2Pb at its relaxed geometry.

## Properties
- crystal system = tetragonal
- distance to the lowest polymorph of the same formula (eV per atom) = 0.0764
- SG = No. 139
- formation energy from the elements (meV per atom) = -104
- V (Å³/cell) = 104.2

```
5
Lattice="-1.683 0.128 3.680 3.595 -0.819 1.672 2.208 5.877 3.031" Properties=species:S:1:pos:R:3 pbc="T T T"
Li 0.740 2.830 4.694
Li 3.379 2.357 3.690
Pb 0.000 0.000 0.000
Ga 1.208 0.910 2.748
Ga 2.911 4.277 5.636
```